# NaTmMgPb, relaxed, DFT PBE-GGA
# E_tot ... -2.9056 eV/atom
# DFT formation energy ... -0.13 eV per atom
data_NaTmMgPb
_cell_length_a 7.5534
_cell_length_b 7.5534
_cell_length_c 7.5534
_cell_angle_alpha 90.00
_cell_angle_beta 90.00
_cell_angle_gamma 90.00
_space_group_name_H-M_alt 'F -4 3 m'
_space_group_IT_number 216
_space_group_name_Hall 'F -4 2 3'
loop_
_atom_site_label
_atom_site_fract_x
_atom_site_fract_y
_atom_site_fract_z
Na1 0.0000 0.0000 0.0000
Tm1 0.0000 0.0000 0.5000
Mg1 0.2500 0.2500 0.7500
Pb1 0.2500 0.2500 0.2500